No. 1
LiSi2Mo2 at its PBEsol-relaxed geometry. Source: Alexandria via LeMat-Bulk, functional meta-GGA SCAN.

Properties
The value obtained for the spin magnetization is 0.00 μB/f.u. Its formation energy without anion corrections is -28 kJ per mole of atoms. For the total energy, the calculation gives -18.727 eV per atom. The density of states at the Fermi level comes out at 3.26 states/eV/f.u. The calculated density is 6.18 Mg/m³.

The structure in POSCAR format:
```
LiSi2Mo2
1.0
3.300 0.000 0.000
0.000 6.447 0.000
0.000 0.000 6.447
Si Li Mo
4 2 4
Cartesian
0.000 0.856 2.367
0.000 5.591 4.079
0.000 2.367 5.591
0.000 4.079 0.856
0.000 0.000 0.000
0.000 3.223 3.223
1.650 1.070 4.293
1.650 2.153 1.070
1.650 4.293 5.377
1.650 5.377 2.153
```


No. 2
LiSi2Mo at its PBEsol-relaxed geometry. Source: Alexandria via LeMat-Bulk, functional meta-GGA SCAN.

Properties
The value obtained for the spin magnetization is 0.00 μB/f.u. Its formation energy without anion corrections is -16 kJ per mole of atoms. For the total energy, the calculation gives -14.489 eV per atom. The density of states at the Fermi level comes out at 1.82 states/eV/f.u. The calculated density is 4.99 Mg/m³.

The structure in POSCAR format:
```
LiSi2Mo
1.0
-1.323 -1.927 2.125
1.850 -2.362 -0.989
3.679 1.394 3.554
Mo Li Si
1 1 2
Cartesian
2.103 -1.447 2.345
0.264 -2.144 0.568
0.913 0.346 0.882
2.766 1.048 2.672
```


No. 3
LiSi2Mo at its PBEsol-relaxed geometry. Source: Alexandria via LeMat-Bulk, functional meta-GGA SCAN.

Properties
The value obtained for the spin magnetization is 0.78 μB/f.u. Its formation energy without anion corrections is 9 kJ per mole of atoms. For the total energy, the calculation gives -14.232 eV per atom. The density of states at the Fermi level comes out at 2.15 states/eV/f.u. The calculated density is 4.95 Mg/m³.

The structure in POSCAR format:
```
LiSi2Mo
1.0
-1.934 3.724 -0.499
-2.373 0.707 -3.425
-4.203 0.264 0.359
Li Si Mo
1 2 1
Cartesian
0.000 0.000 0.000
-2.127 1.174 -0.891
-6.382 3.521 -2.674
-4.255 2.347 -1.783
```


No. 4
LiSiMo3 at its PBEsol-relaxed geometry. Source: Alexandria via LeMat-Bulk, functional meta-GGA SCAN.

Properties
The value obtained for the spin magnetization is 0.00 μB/f.u. Its formation energy without anion corrections is 120 kJ per mole of atoms. For the total energy, the calculation gives -22.173 eV per atom. The density of states at the Fermi level comes out at 7.03 states/eV/f.u. The calculated density is 5.88 Mg/m³.

The structure in POSCAR format:
```
LiSiMo3
1.0
-2.640 -2.927 2.169
2.852 0.007 3.481
-2.268 3.417 1.851
Mo Li Si
3 1 1
Cartesian
1.426 0.004 1.740
-1.320 -1.464 1.085
-1.134 1.708 0.926
-1.028 0.248 3.750
0.000 0.000 0.000
```


No. 5
LiSi2Mo at its PBEsol-relaxed geometry. Source: Alexandria via LeMat-Bulk, functional meta-GGA SCAN.

Properties
The value obtained for the spin magnetization is 0.44 μB/f.u. Its formation energy without anion corrections is -11 kJ per mole of atoms. For the total energy, the calculation gives -14.443 eV per atom. The density of states at the Fermi level comes out at 1.39 states/eV/f.u. The calculated density is 5.10 Mg/m³.

The structure in POSCAR format:
```
LiSi2Mo
1.0
3.358 0.000 0.000
0.000 3.768 0.000
-1.679 -1.884 4.090
Si Li Mo
2 1 1
Cartesian
0.000 0.000 0.016
1.679 0.000 1.991
0.000 -0.001 4.089
0.000 1.884 2.084
```


No. 6
LiSi2Mo at its PBEsol-relaxed geometry. Source: Alexandria via LeMat-Bulk, functional meta-GGA SCAN.

Properties
The value obtained for the spin magnetization is 0.37 μB/f.u. Its formation energy without anion corrections is -3 kJ per mole of atoms. For the total energy, the calculation gives -14.355 eV per atom. The density of states at the Fermi level comes out at 2.16 states/eV/f.u. The calculated density is 4.87 Mg/m³.

The structure in POSCAR format:
```
LiSi2Mo
1.0
-2.806 -1.587 0.658
0.676 -2.179 -2.371
2.404 -2.872 3.324
Si Li Mo
2 1 1
Cartesian
-0.430 -2.641 0.021
2.353 -2.810 3.253
1.174 -1.402 1.623
0.785 -4.092 1.700
```